The following is a DFT calculation (PBE) of a relaxed Hf2Sc4As3N3 crystal.

```
24
Lattice="5.070 -2.933 0.000 5.070 2.933 0.000 -3.394 0.000 12.384" Properties=species:S:1:pos:R:3 pbc="T T T"
Hf 2.507 2.433 7.391
Hf 2.541 2.433 11.185
Hf 4.204 -2.433 1.199
Hf 4.238 -2.433 4.993
Sc 2.552 0.504 1.217
Sc 2.529 0.469 4.974
Sc 0.855 -0.504 7.409
Sc 0.832 -0.469 11.166
Sc 5.914 0.469 1.218
Sc 5.891 0.504 4.975
Sc 4.217 -0.469 7.409
Sc 4.194 -0.504 11.167
As -0.845 0.491 9.280
As 0.852 -0.491 3.088
As 2.524 0.478 9.288
As 4.221 -0.478 3.096
As 5.894 0.491 9.296
As 7.591 -0.491 3.104
N 0.838 1.466 6.192
N 4.255 1.519 0.000
N 4.188 1.519 6.192
N 2.535 -1.466 0.000
N 2.558 -1.519 6.192
N 5.885 -1.519 0.000
```

Results
- Total energy: -8.40 eV per atom
- Magnetization: 0.000 μB per atom

The following is a DFT calculation (PBE) of a relaxed PrTmNb3 crystal.

```
10
Lattice="4.923 0.000 0.000 -2.462 4.264 0.000 0.000 0.000 14.162" Properties=species:S:1:pos:R:3 pbc="T T T"
Pr 0.000 0.000 1.679
Pr 0.000 0.000 12.483
Tm 0.000 2.842 7.081
Tm 2.462 1.421 7.081
Nb -0.819 1.418 9.788
Nb -1.643 2.845 4.374
Nb 1.638 0.000 9.788
Nb 0.819 1.418 4.374
Nb 3.285 0.000 4.374
Nb 1.643 2.845 9.788
```

Results
- Total energy: -7.08 eV per atom
- Magnetization: 0.005 μB per atom

The following is a DFT calculation (PBE) of a relaxed AlCdO3 crystal.

```
20
Lattice="5.341 0.000 0.000 0.000 7.366 0.000 0.000 0.000 5.179" Properties=species:S:1:pos:R:3 pbc="T T T"
Al 0.000 0.000 0.000
Al 0.000 3.683 0.000
Al 2.670 0.000 2.589
Al 2.670 3.683 2.589
Cd 0.208 1.841 2.542
Cd 2.463 5.524 5.131
Cd 2.878 1.841 0.048
Cd 5.133 5.524 2.637
O 0.132 5.524 0.424
O 1.124 3.994 3.674
O 1.124 7.055 3.674
O 1.546 0.311 1.084
O 1.546 3.372 1.084
O 2.538 1.841 3.013
O 2.802 5.524 2.166
O 3.795 3.994 4.095
O 3.795 7.055 4.095
O 4.216 0.311 1.505
O 4.216 3.372 1.505
O 5.209 1.841 4.755
```

Results
- Total energy: -5.61 eV per atom

The following is a DFT calculation (PBE) of a relaxed CsCuTe2PdS crystal.

```
12
Lattice="2.047 -7.441 0.000 2.047 7.441 0.000 0.000 0.000 11.283" Properties=species:S:1:pos:R:3 pbc="T T T"
Cs 2.047 3.984 8.463
Cs 2.047 -3.984 2.821
Cu 2.047 6.856 2.821
Cu 2.047 -6.856 8.463
Te 2.047 5.761 0.444
Te 2.047 5.761 5.198
Te 2.047 -5.761 6.086
Te 2.047 -5.761 10.839
Pd 2.047 0.000 0.000
Pd 2.047 0.000 5.642
S 2.047 0.360 2.821
S 2.047 -0.360 8.463
```

Results
- Total energy: -3.73 eV per atom

The following is a DFT calculation (PBE) of a relaxed NaTh2S6 crystal.

```
9
Lattice="-2.039 2.593 10.166 2.039 -2.593 10.166 2.039 2.593 -10.166" Properties=species:S:1:pos:R:3 pbc="T T T"
Na 0.000 0.000 0.000
Th 2.039 0.000 6.661
Th 0.000 2.593 3.505
S 2.039 1.310 -1.936
S 0.000 0.000 4.671
S 2.039 1.310 1.936
S 0.000 1.283 8.230
S 0.000 0.000 15.662
S 0.000 1.283 12.103
```

Results
- Total energy: -6.06 eV per atom
- Magnetization: 0.000 μB per atom

The following is a DFT calculation (PBE) of a relaxed FeAsSe crystal.

```
6
Lattice="3.244 0.000 0.000 0.000 5.882 0.000 0.000 0.000 5.049" Properties=species:S:1:pos:R:3 pbc="T T T"
Fe 0.000 1.463 0.000
Fe 1.622 4.418 2.525
As 0.000 3.570 1.013
As 1.622 2.312 3.538
Se 0.000 5.189 4.106
Se 1.622 0.692 1.581
```

Results
- Total energy: -5.78 eV per atom
- Magnetization: 0.239 μB per atom

The following is a DFT calculation (PBE) of a relaxed MgNpZn crystal.

```
3
Lattice="0.000 3.363 3.363 3.363 0.000 3.363 3.363 3.363 0.000" Properties=species:S:1:pos:R:3 pbc="T T T"
Mg 0.000 0.000 0.000
Np 3.363 3.363 3.363
Zn 1.682 1.682 1.682
```

Results
- Total energy: -4.65 eV per atom
- Magnetization: 1.444 μB per atom

The following is a DFT calculation (PBE) of a relaxed SrGa3Ag crystal.

```
10
Lattice="3.271 -5.495 0.000 3.271 5.495 0.000 0.000 0.000 6.096" Properties=species:S:1:pos:R:3 pbc="T T T"
Sr 3.271 2.891 4.572
Sr 3.271 -2.891 1.524
Ga 1.866 0.000 0.000
Ga 1.866 0.000 3.048
Ga 3.271 1.667 1.524
Ga 3.271 -1.667 4.572
Ga 4.677 0.000 0.000
Ga 4.677 0.000 3.048
Ag 3.271 4.285 1.524
Ag 3.271 -4.285 4.572
```

Results
- Total energy: -3.11 eV per atom

The following is a DFT calculation (PBE) of a relaxed NiPdW2 crystal.

```
4
Lattice="0.000 3.096 3.096 3.096 0.000 3.096 3.096 3.096 0.000" Properties=species:S:1:pos:R:3 pbc="T T T"
Ni 0.000 0.000 0.000
Pd 1.548 1.548 1.548
W 3.096 3.096 3.096
W 4.644 4.644 4.644
```

Results
- Total energy: -8.88 eV per atom
- Magnetization: 0.009 μB per atom

The following is a DFT calculation (PBE) of a relaxed TbHfBi crystal.

```
3
Lattice="0.000 3.533 3.533 3.533 0.000 3.533 3.533 3.533 0.000" Properties=species:S:1:pos:R:3 pbc="T T T"
Tb 0.000 0.000 0.000
Hf 3.533 3.533 3.533
Bi 5.300 5.300 5.300
```

Results
- Total energy: -6.06 eV per atom
- Magnetization: 0.174 μB per atom

The following is a DFT calculation (PBE) of a relaxed CsSmTl crystal.

```
3
Lattice="0.000 3.938 3.938 3.938 0.000 3.938 3.938 3.938 0.000" Properties=species:S:1:pos:R:3 pbc="T T T"
Cs 0.000 0.000 0.000
Sm 1.969 1.969 1.969
Tl 3.938 3.938 3.938
```

Results
- Total energy: -2.13 eV per atom
- Magnetization: 0.002 μB per atom

The following is a DFT calculation (PBE) of a relaxed ZrAlTcNi crystal.

```
4
Lattice="0.000 3.123 3.123 3.123 0.000 3.123 3.123 3.123 0.000" Properties=species:S:1:pos:R:3 pbc="T T T"
Zr 0.000 0.000 0.000
Al 3.123 3.123 3.123
Tc 1.561 1.561 1.561
Ni 4.684 4.684 4.684
```

Results
- Total energy: -7.48 eV per atom
- Magnetization: 0.000 μB per atom